{
  "formula": "LaAlBr",
  "functional": "PBE",
  "state": "relaxed",
  "lattice": [[5.187, 0.000, 0.000], [2.594, 4.492, 0.000], [2.594, 1.497, 4.235]],
  "species": ["La", "Br", "Al"],
  "fractional_positions": [[0.750, 0.750, 0.750], [0.500, 0.500, 0.500], [0.000, 0.000, 0.000]],
  "density_g_cm3": 4.14,
  "total_energy_ev_per_fu": -10.92,
  "volume_a3_per_atom": 32.9
}